(1)
# Nd6InPb5, optimized geometry, DFT PBE
data_Nd6InPb5
_chemical_formula_sum 'Nd12 In2 Pb10'
_space_group_name_H-M_alt 'C 1 2/m 1'
_space_group_IT_number 12
_cell_length_a 10.4881
_cell_length_b 15.4063
_cell_length_c 5.0912
_cell_angle_alpha 90.00
_cell_angle_beta 118.99
_cell_angle_gamma 90.00
loop_
_space_group_symop_operation_xyz
'x,y,z'
'-x,-y,-z'
'-x,y,-z'
'x,-y,z'
'x+1/2,y+1/2,z'
'-x+1/2,-y+1/2,-z'
'-x+1/2,y+1/2,-z'
'x+1/2,-y+1/2,z'
loop_
_atom_site_label
_atom_site_type_symbol
_atom_site_fract_x
_atom_site_fract_y
_atom_site_fract_z
Nd1 Nd 0.2480 0.0000 0.2485
Nd2 Nd 0.2487 0.1665 0.7489
In1 In 0.0000 0.0000 0.5000
Pb1 Pb 0.0000 0.1638 0.0000
Pb2 Pb 0.0000 0.3333 0.5000
Pb3 Pb 0.0000 0.5000 0.0000
# total DFT energy (no corrections)	-112.0	eV/cell
# magnetic moment	0.0	μB per cell
# DOS(E_F)	11.0	states/eV/f.u.


(2)
# Nd2InPb, optimized geometry, DFT PBE
data_Nd2InPb
_chemical_formula_sum 'Nd2 In1 Pb1'
_space_group_name_H-M_alt 'P 4/m m m'
_space_group_IT_number 123
_space_group_name_Hall '-P 4 2'
_cell_length_a 5.1349
_cell_length_b 5.1349
_cell_length_c 4.4931
_cell_angle_alpha 90.00
_cell_angle_beta 90.00
_cell_angle_gamma 90.00
loop_
_atom_site_label
_atom_site_type_symbol
_atom_site_fract_x
_atom_site_fract_y
_atom_site_fract_z
Nd1 Nd 0.0000 0.5000 0.0000
In1 In 0.0000 0.0000 0.5000
Pb1 Pb 0.5000 0.5000 0.5000
# total DFT energy (no corrections)	-18.0	eV/cell
# magnetic moment	0.0	μB per cell
# DOS(E_F)	3.5	states/eV/f.u.


(3)
# NdInPb2, optimized geometry, DFT PBE
data_NdInPb2
_chemical_formula_sum 'Nd1 In1 Pb2'
_space_group_name_H-M_alt 'P 4/m m m'
_space_group_IT_number 123
_space_group_name_Hall '-P 4 2'
_cell_length_a 4.8570
_cell_length_b 4.8570
_cell_length_c 4.8800
_cell_angle_alpha 90.00
_cell_angle_beta 90.00
_cell_angle_gamma 90.00
loop_
_atom_site_label
_atom_site_type_symbol
_atom_site_fract_x
_atom_site_fract_y
_atom_site_fract_z
Nd1 Nd 0.0000 0.0000 0.0000
In1 In 0.5000 0.5000 0.0000
Pb1 Pb 0.0000 0.5000 0.5000
# magnetic moment	0.0	μB per cell
# DOS(E_F)	1.7	states/eV/f.u.
# energy above the lowest structure with this stoichiometry	0	meV per atom


(4)
# NdInPb2, optimized geometry, DFT PBE
data_NdInPb2
_chemical_formula_sum 'Nd3 In3 Pb6'
_space_group_name_H-M_alt 'R -3 m'
_space_group_IT_number 166
_space_group_name_Hall '-R 3 2"'
_cell_length_a 3.6103
_cell_length_b 3.6103
_cell_length_c 34.4331
_cell_angle_alpha 90.00
_cell_angle_beta 90.00
_cell_angle_gamma 120.00
loop_
_atom_site_label
_atom_site_type_symbol
_atom_site_fract_x
_atom_site_fract_y
_atom_site_fract_z
Nd1 Nd 0.0000 0.0000 0.0000
In1 In 0.0000 0.0000 0.5000
Pb1 Pb 0.0000 0.0000 0.0936
# magnetic moment	0.0	μB per cell
# DOS(E_F)	3.3	states/eV/f.u.
# energy above the lowest structure with this stoichiometry	482	meV per atom


(5)
# Nd2In3Pb3, optimized geometry, DFT PBE
data_Nd2In3Pb3
_chemical_formula_sum 'Nd2 In3 Pb3'
_space_group_name_H-M_alt 'P m m m'
_space_group_IT_number 47
_cell_length_a 4.7736
_cell_length_b 4.9593
_cell_length_c 9.4906
_cell_angle_alpha 90.00
_cell_angle_beta 90.00
_cell_angle_gamma 90.00
loop_
_space_group_symop_operation_xyz
'x,y,z'
'-x,-y,-z'
'-x,-y,z'
'x,y,-z'
'x,-y,-z'
'-x,y,z'
'-x,y,-z'
'x,-y,z'
loop_
_atom_site_label
_atom_site_type_symbol
_atom_site_fract_x
_atom_site_fract_y
_atom_site_fract_z
Nd1 Nd 0.0000 0.0000 0.2475
In1 In 0.0000 0.5000 0.0000
In2 In 0.5000 0.5000 0.2419
Pb1 Pb 0.0000 0.5000 0.5000
Pb2 Pb 0.5000 0.0000 0.0000
Pb3 Pb 0.5000 0.0000 0.5000
# total DFT energy (no corrections)	-32.2	eV/cell
# magnetic moment	0.0	μB per cell
# DOS(E_F)	3.1	states/eV/f.u.


(6)
# Nd8InPb2, optimized geometry, DFT PBE
data_Nd8InPb2
_chemical_formula_sum 'Nd16 In2 Pb4'
_space_group_name_H-M_alt 'C 1 2/m 1'
_space_group_IT_number 12
_cell_length_a 19.9895
_cell_length_b 5.3637
_cell_length_c 7.0338
_cell_angle_alpha 90.00
_cell_angle_beta 104.05
_cell_angle_gamma 90.00
loop_
_space_group_symop_operation_xyz
'x,y,z'
'-x,-y,-z'
'-x,y,-z'
'x,-y,z'
'x+1/2,y+1/2,z'
'-x+1/2,-y+1/2,-z'
'-x+1/2,y+1/2,-z'
'x+1/2,-y+1/2,z'
loop_
_atom_site_label
_atom_site_type_symbol
_atom_site_fract_x
_atom_site_fract_y
_atom_site_fract_z
Nd1 Nd 0.0137 0.0000 0.2652
Nd2 Nd 0.0912 0.5000 0.9802
Nd3 Nd 0.1586 0.5000 0.5051
Nd4 Nd 0.2123 0.0000 0.8265
In1 In 0.0000 0.5000 0.5000
Pb1 Pb 0.1780 0.0000 0.2603
# total DFT energy (no corrections)	-102.2	eV/cell
# magnetic moment	0.0	μB per cell
# DOS(E_F)	12.8	states/eV/f.u.


(7)
# NdInPb, optimized geometry, DFT PBE
data_NdInPb
_chemical_formula_sum 'Nd2 In2 Pb2'
_space_group_name_H-M_alt 'I 4 m m'
_space_group_IT_number 107
_space_group_name_Hall 'I 4 -2'
_cell_length_a 3.8658
_cell_length_b 3.8658
_cell_length_c 11.7564
_cell_angle_alpha 90.00
_cell_angle_beta 90.00
_cell_angle_gamma 90.00
loop_
_atom_site_label
_atom_site_type_symbol
_atom_site_fract_x
_atom_site_fract_y
_atom_site_fract_z
Nd1 Nd 0.0000 0.0000 0.0000
In1 In 0.0000 0.0000 0.3286
Pb1 Pb 0.0000 0.0000 0.6894
# magnetic moment	0.0	μB per cell
# DOS(E_F)	2.7	states/eV/f.u.
# energy above the lowest structure with this stoichiometry	124	meV per atom


(8)
# Nd5In4Pb, optimized geometry, DFT PBE
data_Nd5In4Pb
_chemical_formula_sum 'Nd5 In4 Pb1'
_space_group_name_H-M_alt 'P 4/m m m'
_space_group_IT_number 123
_space_group_name_Hall '-P 4 2'
_cell_length_a 3.6294
_cell_length_b 3.6294
_cell_length_c 22.2755
_cell_angle_alpha 90.00
_cell_angle_beta 90.00
_cell_angle_gamma 90.00
loop_
_atom_site_label
_atom_site_type_symbol
_atom_site_fract_x
_atom_site_fract_y
_atom_site_fract_z
Nd1 Nd 0.0000 0.0000 0.0000
Nd2 Nd 0.0000 0.0000 0.1974
Nd3 Nd 0.0000 0.0000 0.3955
In1 In 0.5000 0.5000 0.0988
In2 In 0.5000 0.5000 0.2971
Pb1 Pb 0.5000 0.5000 0.5000
# total DFT energy (no corrections)	-43.4	eV/cell
# magnetic moment	0.0	μB per cell
# DOS(E_F)	8.7	states/eV/f.u.


(9)
# Nd6InPb, optimized geometry, DFT PBE
data_Nd6InPb
_chemical_formula_sum 'Nd6 In1 Pb1'
_space_group_name_H-M_alt 'P 4/m m m'
_space_group_IT_number 123
_space_group_name_Hall '-P 4 2'
_cell_length_a 4.9958
_cell_length_b 4.9958
_cell_length_c 9.9835
_cell_angle_alpha 90.00
_cell_angle_beta 90.00
_cell_angle_gamma 90.00
loop_
_atom_site_label
_atom_site_type_symbol
_atom_site_fract_x
_atom_site_fract_y
_atom_site_fract_z
Nd1 Nd 0.0000 0.0000 0.0000
Nd2 Nd 0.0000 0.0000 0.5000
Nd3 Nd 0.0000 0.5000 0.2488
In1 In 0.5000 0.5000 0.0000
Pb1 Pb 0.5000 0.5000 0.5000
# total DFT energy (no corrections)	-37.5	eV/cell
# magnetic moment	0.0	μB per cell
# DOS(E_F)	12.6	states/eV/f.u.


(10)
# Nd3In2Pb, optimized geometry, DFT PBE
data_Nd3In2Pb
_chemical_formula_sum 'Nd3 In2 Pb1'
_space_group_name_H-M_alt 'P -3 m 1'
_space_group_IT_number 164
_space_group_name_Hall '-P 3 2"'
_cell_length_a 5.5105
_cell_length_b 5.5105
_cell_length_c 6.7784
_cell_angle_alpha 90.00
_cell_angle_beta 90.00
_cell_angle_gamma 120.00
loop_
_atom_site_label
_atom_site_type_symbol
_atom_site_fract_x
_atom_site_fract_y
_atom_site_fract_z
Nd1 Nd 0.0000 0.0000 0.0000
Nd2 Nd 0.3333 0.6667 0.6571
In1 In 0.3333 0.6667 0.1523
Pb1 Pb 0.0000 0.0000 0.5000
# magnetic moment	0.0	μB per cell
# DOS(E_F)	2.8	states/eV/f.u.
# energy above the lowest structure with this stoichiometry	0	meV per atom


(11)
# Nd2InPb2, optimized geometry, DFT PBE
data_Nd2InPb2
_chemical_formula_sum 'Nd4 In2 Pb4'
_space_group_name_H-M_alt 'P 4/m b m'
_space_group_IT_number 127
_space_group_name_Hall '-P 4 2ab'
_cell_length_a 8.7048
_cell_length_b 8.7048
_cell_length_c 4.1853
_cell_angle_alpha 90.00
_cell_angle_beta 90.00
_cell_angle_gamma 90.00
loop_
_atom_site_label
_atom_site_type_symbol
_atom_site_fract_x
_atom_site_fract_y
_atom_site_fract_z
Nd1 Nd 0.1373 0.3627 0.0000
In1 In 0.0000 0.0000 0.0000
Pb1 Pb 0.1702 0.6702 0.5000
# total DFT energy (no corrections)	-42.4	eV/cell
# magnetic moment	0.0	μB per cell
# DOS(E_F)	4.2	states/eV/f.u.


(12)
# NdInPb, optimized geometry, DFT PBE
data_NdInPb
_chemical_formula_sum 'Nd1 In1 Pb1'
_space_group_name_H-M_alt 'P 3 m 1'
_space_group_IT_number 156
_cell_length_a 4.8111
_cell_length_b 4.8111
_cell_length_c 4.5226
_cell_angle_alpha 90.00
_cell_angle_beta 90.00
_cell_angle_gamma 120.00
loop_
_space_group_symop_operation_xyz
'x,y,z'
'-y,x-y,z'
'-x+y,-x,z'
'-y,-x,z'
'-x+y,y,z'
'x,x-y,z'
loop_
_atom_site_label
_atom_site_type_symbol
_atom_site_fract_x
_atom_site_fract_y
_atom_site_fract_z
Nd1 Nd 0.0000 0.0000 0.0000
In1 In 0.3333 0.6667 0.6447
Pb1 Pb 0.6667 0.3333 0.3888
# magnetic moment	0.0	μB per cell
# DOS(E_F)	0.6	states/eV/f.u.
# energy above the lowest structure with this stoichiometry	39	meV per atom